Entry 1:
Density functional theory data (GGA-PBE) for crystalline FeRu at its relaxed geometry.

It has space group R-3m (No. 166, hexagonal axes), with a = 2.6521 Å, b = 2.6521 Å, c = 12.6537 Å, α = 90.00°, β = 90.00° and γ = 120.00°. Symmetry generates all atoms from Fe at (0.0000, 0.0000, 0.0000) and Ru at (0.0000, 0.0000, 0.5000).

Entry 2:
Density functional theory data (GGA-PBE) for crystalline FeRu at its relaxed geometry.

It has space group R-3m (No. 166, hexagonal axes), with a = 2.6698 Å, b = 2.6698 Å, c = 25.2678 Å, α = 90.00°, β = 90.00° and γ = 120.00°. Symmetry generates all atoms from Fe at (0.0000, 0.0000, 0.1267) and Ru at (0.0000, 0.0000, 0.3775).

Entry 3:
Density functional theory data (GGA-PBE) for crystalline FeRu at its relaxed geometry.

It has space group Cmme (No. 67), with a = 2.805 Å, b = 4.430 Å, c = 8.544 Å, α = 90.00°, β = 90.00° and γ = 90.00°. Symmetry generates all atoms from Fe at (0.000, 0.250, 0.116) and Ru at (0.000, 0.250, 0.634).

Entry 4:
Density functional theory data (GGA-PBE) for crystalline FeRu at its relaxed geometry.

It has space group Fd-3m (No. 227, origin choice 2), with a = 5.973 Å, b = 5.973 Å, c = 5.973 Å, α = 90.00°, β = 90.00° and γ = 90.00°. Symmetry generates all atoms from Fe at (0.125, 0.125, 0.125) and Ru at (0.125, 0.125, 0.625).

Entry 5:
Density functional theory data (GGA-PBE) for crystalline Fe5Ru at its relaxed geometry.

It has space group Amm2 (No. 38), with a = 4.018 Å, b = 2.530 Å, c = 13.187 Å, α = 90.00°, β = 90.00° and γ = 90.00°. Symmetry generates all atoms from Fe at (0.000, 0.000, 0.000), Fe at (0.000, 0.000, 0.325), Fe at (0.000, 0.000, 0.661), Fe at (0.500, 0.000, 0.109), Fe at (0.500, 0.000, 0.769) and Ru at (0.500, 0.000, 0.439).

For the offset from the most stable computed form, the calculation gives 0 meV per atom.

Entry 6:
Density functional theory data (GGA-PBE) for crystalline FeRu at its relaxed geometry.

It has space group Fddd (No. 70, origin choice 2), with a = 6.718 Å, b = 7.164 Å, c = 9.125 Å, α = 90.00°, β = 90.00° and γ = 90.00°. Symmetry generates all atoms from Fe at (0.043, 0.375, 0.375) and Ru at (0.125, 0.303, 0.625).

Entry 7:
Density functional theory data (GGA-PBE) for crystalline FeRu at its relaxed geometry.

It has space group P4/mnc (No. 128), with a = 7.016 Å, b = 7.016 Å, c = 4.324 Å, α = 90.00°, β = 90.00° and γ = 90.00°. Symmetry generates all atoms from Fe at (0.084, 0.235, 0.000) and Ru at (0.072, 0.741, 0.500).

Entry 8:
Density functional theory data (GGA-PBE) for crystalline Fe5Ru at its relaxed geometry.

It has space group Cmmm (No. 65), with a = 3.571 Å, b = 11.197 Å, c = 3.548 Å, α = 90.00°, β = 90.00° and γ = 90.00°. Symmetry generates all atoms from Fe at (0.000, 0.000, 0.000), Fe at (0.000, 0.166, 0.500), Fe at (0.000, 0.335, 0.000) and Ru at (0.000, 0.500, 0.500).

For the offset from the most stable computed form, the calculation gives 7 meV per atom.

One value per record, in order, for VASP energy: -8.70, -8.72, -8.60, -8.62, -8.50, -8.22, -8.48, -8.49 eV/atom.